A plane-wave DFT calculation with PBE was carried out for a relaxed Cs2YCBr6 crystal.

Computed properties:
The value obtained for the total energy is -36.7 eV/cell. The space-group type is No. 139. The density of states at the Fermi level is 0.00 states/eV/cell.

Structure (POSCAR):
```
Cs2YCBr6
1.0
7.527 0.000 0.000
0.000 7.527 0.000
3.763 3.763 6.345
Cs Y C Br
2 1 1 6
direct
0.750 0.250 0.500 Cs
0.250 0.750 0.500 Cs
0.000 0.000 0.000 Y
0.500 0.500 0.000 C
0.219 0.219 0.561 Br
0.781 0.781 0.439 Br
0.265 0.265 0.000 Br
0.735 0.735 0.000 Br
0.735 0.265 0.000 Br
0.265 0.735 0.000 Br
```

***

A plane-wave DFT calculation with PBE was carried out for a relaxed Ce5As4S crystal.

Computed properties:
The space-group type is No. 71. The value obtained for the energy above the lowest structure with this stoichiometry is 0 meV per atom. The density of states at the Fermi level is 24.12 states/eV/cell.

Structure (POSCAR):
```
Ce5As4S
1.0
4.109 0.000 -0.793
-0.305 5.696 -1.581
0.003 -0.005 11.061
Ce As S
5 4 1
direct
0.597 0.097 0.194 Ce
0.800 0.300 0.599 Ce
0.200 0.700 0.401 Ce
0.000 0.500 0.000 Ce
0.403 0.903 0.806 Ce
0.400 0.400 0.800 As
0.802 0.802 0.603 As
0.198 0.198 0.397 As
0.600 0.600 0.200 As
0.000 0.000 0.000 S
```

***

Volume values (in A^3/atom) by entry order: 35.94 25.89.